Below is a geometry-optimized Sr2MnAlO5 structure, with properties calculated at the PBE with a Hubbard U level.

Structure (extended XYZ):
```
18
Lattice="1.629 -6.984 0.000 1.629 6.984 0.000 0.000 0.000 10.356" Properties=species:S:1:pos:R:3 pbc="T T T"
Sr 1.629 5.407 5.178
Sr 1.629 5.057 1.362
Sr 1.629 -5.057 6.540
Sr 1.629 -5.407 0.000
Mn 1.629 4.009 8.762
Mn 1.629 -4.009 3.584
Al 1.629 0.870 2.758
Al 1.629 -0.870 7.936
O 1.629 6.167 8.765
O 1.629 2.945 4.828
O 1.629 2.612 2.262
O 1.629 2.146 8.562
O 1.629 0.017 1.237
O 1.629 -0.017 6.415
O 1.629 -2.146 3.384
O 1.629 -2.612 7.440
O 1.629 -2.945 10.006
O 1.629 -6.167 3.587
```

Computed properties:
Its space group is Cmc2_1, No. 36. For the total energy, the calculation gives -6.751 eV per atom. The value obtained for the volume is 236 Å³ per cell.